1.
Dy2MnCo5B2, relaxed, DFT PBE; ΔE_f = -276 meV/atom; uncorrected energy = -7.002 eV/atom
1.0
-0.7022 2.1370 2.0278
-7.2337 -4.7958 2.5491
5.0099 -4.2524 6.2163
Dy Mn Co B
4 2 10 4
Direct
0.0000 0.6782 0.1782 Dy
0.0000 0.3218 0.8218 Dy
0.0000 0.1782 0.3218 Dy
0.0000 0.8218 0.6782 Dy
0.0000 0.0000 0.0000 Mn
0.0000 0.5000 0.5000 Mn
0.5000 0.2273 0.0674 Co
0.5000 0.7727 0.9326 Co
0.5000 0.0674 0.7727 Co
0.5000 0.7273 0.4326 Co
0.5000 0.9326 0.2273 Co
0.5000 0.2727 0.5674 Co
0.5000 0.5674 0.7273 Co
0.5000 0.4326 0.2727 Co
0.5000 0.5000 0.0000 Co
0.5000 0.0000 0.5000 Co
0.0000 0.1180 0.6180 B
0.0000 0.8820 0.3820 B
0.0000 0.6180 0.8820 B
0.0000 0.3820 0.1180 B

***

2.
Dy2CoNi12B3, relaxed, DFT PBE; ΔE_f = -9 meV/atom; uncorrected energy = -5.883 eV/atom
1.0
-0.0595 6.5748 -1.3417
-3.3862 3.8559 4.3240
3.7185 3.8615 4.0365
Dy Co Ni B
2 1 12 3
Direct
0.5961 0.5961 0.5961 Dy
0.4039 0.4039 0.4039 Dy
0.0000 0.0000 0.0000 Co
0.2723 0.2723 0.8784 Ni
0.8627 0.8627 0.4119 Ni
0.4119 0.8627 0.8627 Ni
0.8784 0.2723 0.2723 Ni
0.8627 0.4119 0.8627 Ni
0.2723 0.8784 0.2723 Ni
0.7277 0.7277 0.1216 Ni
0.1373 0.1373 0.5881 Ni
0.5881 0.1373 0.1373 Ni
0.1216 0.7277 0.7277 Ni
0.1373 0.5881 0.1373 Ni
0.7277 0.1216 0.7277 Ni
0.5000 0.0000 0.0000 B
0.0000 0.5000 0.0000 B
0.0000 0.0000 0.5000 B

***

3.
Dy2Co3B12Ru, relaxed, DFT PBE; ΔE_f = 28 meV/atom; uncorrected energy = -6.635 eV/atom
1.0
8.0817 1.6305 1.1565
5.4089 6.2222 1.1565
5.4089 3.1484 5.4900
Dy Co B Ru
2 3 12 1
Direct
0.6372 0.6372 0.6372 Dy
0.3628 0.3628 0.3628 Dy
0.5000 0.0000 0.0000 Co
0.0000 0.5000 0.0000 Co
0.0000 0.0000 0.5000 Co
0.3430 0.3430 0.0227 B
0.9563 0.9563 0.3220 B
0.3220 0.9563 0.9563 B
0.0227 0.3430 0.3430 B
0.9563 0.3220 0.9563 B
0.3430 0.0227 0.3430 B
0.6570 0.6570 0.9773 B
0.0437 0.0437 0.6780 B
0.6780 0.0437 0.0437 B
0.9773 0.6570 0.6570 B
0.0437 0.6780 0.0437 B
0.6570 0.9773 0.6570 B
0.0000 0.0000 0.0000 Ru

***

4.
Dy2Co5SiB2, relaxed, DFT PBE; ΔE_f (raw) = -0.428 eV per atom; uncorrected energy = -6.779 eV/atom
1.0
3.0412 0.0000 0.0000
0.0000 8.8914 0.0000
0.0000 0.0000 8.8914
Dy Co Si B
4 10 2 4
Direct
0.0000 0.6778 0.1778 Dy
0.0000 0.3222 0.8222 Dy
0.0000 0.1778 0.3222 Dy
0.0000 0.8222 0.6778 Dy
0.5000 0.2212 0.0671 Co
0.5000 0.7788 0.9329 Co
0.5000 0.0671 0.7788 Co
0.5000 0.7212 0.4329 Co
0.5000 0.9329 0.2212 Co
0.5000 0.2788 0.5671 Co
0.5000 0.5671 0.7212 Co
0.5000 0.4329 0.2788 Co
0.5000 0.5000 0.0000 Co
0.5000 0.0000 0.5000 Co
0.0000 0.0000 0.0000 Si
0.0000 0.5000 0.5000 Si
0.0000 0.1183 0.6183 B
0.0000 0.8817 0.3817 B
0.0000 0.6183 0.8817 B
0.0000 0.3817 0.1183 B

***

5.
DyCo3SiB, relaxed, DFT PBE; ΔE_f (raw) = -0.409 eV per atom; uncorrected energy = -6.745 eV/atom
1.0
-0.1124 -3.8229 3.8976
5.0191 1.1524 1.2750
-4.2775 3.1436 2.9599
Dy Co Si B
2 6 2 2
Direct
0.7500 0.2622 0.5244 Dy
0.2500 0.7378 0.4756 Dy
0.2500 0.1711 0.3423 Co
0.0000 0.2552 0.0000 Co
0.5000 0.7448 0.0000 Co
0.5000 0.2552 0.0000 Co
0.0000 0.7448 0.0000 Co
0.7500 0.8289 0.6577 Co
0.2500 0.3732 0.7464 Si
0.7500 0.6268 0.2536 Si
0.2500 0.9909 0.9819 B
0.7500 0.0091 0.0181 B

***

6.
Dy3Co29Si4B10, relaxed, DFT PBE; ΔE_f (raw) = -0.421 eV per atom; uncorrected energy = -7.124 eV/atom
1.0
-0.0382 -5.3674 5.6763
-7.3148 -6.0518 -5.7716
8.3626 -5.3432 -4.9960
Dy Co Si B
6 58 8 20
Direct
0.0000 0.7500 0.2500 Dy
0.0000 0.2500 0.2500 Dy
0.5000 0.5000 0.5000 Dy
0.0000 0.7500 0.7500 Dy
0.0000 0.2500 0.7500 Dy
0.5000 0.0000 0.0000 Dy
0.4739 0.0000 0.2721 Co
0.3361 0.3384 0.3257 Co
0.3361 0.6616 0.3257 Co
0.9708 0.0000 0.3353 Co
0.6639 0.3257 0.3384 Co
0.6639 0.6743 0.3384 Co
0.2492 0.8844 0.3844 Co
0.2492 0.1156 0.3844 Co
0.1114 0.5000 0.3898 Co
0.6992 0.8898 0.3898 Co
0.6992 0.1102 0.3898 Co
0.9708 0.8353 0.5000 Co
0.4739 0.7721 0.5000 Co
0.4670 0.0000 0.5000 Co
0.8886 0.3898 0.5000 Co
0.8886 0.6102 0.5000 Co
0.9708 0.1647 0.5000 Co
0.4739 0.2279 0.5000 Co
0.6992 0.8898 0.6102 Co
0.6992 0.1102 0.6102 Co
0.1114 0.5000 0.6102 Co
0.2492 0.8844 0.6156 Co
0.2492 0.1156 0.6156 Co
0.6639 0.3257 0.6616 Co
0.6639 0.6743 0.6616 Co
0.9708 0.0000 0.6647 Co
0.3361 0.3384 0.6743 Co
0.3361 0.6616 0.6743 Co
0.4739 0.0000 0.7279 Co
0.5261 0.5000 0.7721 Co
0.6639 0.8384 0.8257 Co
0.6639 0.1616 0.8257 Co
0.0292 0.5000 0.8353 Co
0.3361 0.8257 0.8384 Co
0.3361 0.1743 0.8384 Co
0.7508 0.3844 0.8844 Co
0.7508 0.6156 0.8844 Co
0.8886 0.0000 0.8898 Co
0.3008 0.3898 0.8898 Co
0.3008 0.6102 0.8898 Co
0.0292 0.6647 0.0000 Co
0.5261 0.7279 0.0000 Co
0.1114 0.8898 0.0000 Co
0.1114 0.1102 0.0000 Co
0.5261 0.2721 0.0000 Co
0.0292 0.3353 0.0000 Co
0.5330 0.5000 0.0000 Co
0.3008 0.3898 0.1102 Co
0.3008 0.6102 0.1102 Co
0.8886 0.0000 0.1102 Co
0.7508 0.3844 0.1156 Co
0.7508 0.6156 0.1156 Co
0.3361 0.8257 0.1616 Co
0.3361 0.1743 0.1616 Co
0.0292 0.5000 0.1647 Co
0.6639 0.8384 0.1743 Co
0.6639 0.1616 0.1743 Co
0.5261 0.5000 0.2279 Co
0.8249 0.5000 0.3178 Si
0.1751 0.3178 0.5000 Si
0.1751 0.6822 0.5000 Si
0.8249 0.5000 0.6822 Si
0.1751 0.0000 0.8178 Si
0.8249 0.8178 0.0000 Si
0.8249 0.1822 0.0000 Si
0.1751 0.0000 0.1822 Si
0.4819 0.8140 0.3140 B
0.4819 0.1860 0.3140 B
0.2633 0.5000 0.2561 B
0.1073 0.0000 0.5000 B
0.8513 0.0000 0.5000 B
0.7367 0.2561 0.5000 B
0.7367 0.7439 0.5000 B
0.2633 0.5000 0.7439 B
0.4819 0.8140 0.6860 B
0.4819 0.1860 0.6860 B
0.5181 0.3140 0.8140 B
0.5181 0.6860 0.8140 B
0.7367 0.0000 0.7561 B
0.2633 0.7561 0.0000 B
0.2633 0.2439 0.0000 B
0.1487 0.5000 0.0000 B
0.8927 0.5000 0.0000 B
0.7367 0.0000 0.2439 B
0.5181 0.6860 0.1860 B
0.5181 0.3140 0.1860 B

***

7.
Dy2ZnCo5B2, relaxed, DFT PBE; ΔE_f = -312 meV/atom; uncorrected energy = -6.248 eV/atom
1.0
3.0445 0.0000 0.0000
0.0000 9.0367 0.0000
0.0000 0.0000 9.0367
Dy Zn Co B
4 2 10 4
Direct
0.0000 0.6778 0.1778 Dy
0.0000 0.3222 0.8222 Dy
0.0000 0.1778 0.3222 Dy
0.0000 0.8222 0.6778 Dy
0.0000 0.0000 0.0000 Zn
0.0000 0.5000 0.5000 Zn
0.5000 0.2293 0.0682 Co
0.5000 0.7707 0.9318 Co
0.5000 0.0682 0.7707 Co
0.5000 0.7293 0.4318 Co
0.5000 0.9318 0.2293 Co
0.5000 0.2707 0.5682 Co
0.5000 0.5682 0.7293 Co
0.5000 0.4318 0.2707 Co
0.5000 0.5000 0.0000 Co
0.5000 0.0000 0.5000 Co
0.0000 0.1185 0.6185 B
0.0000 0.8815 0.3815 B
0.0000 0.6185 0.8815 B
0.0000 0.3815 0.1185 B

***

8.
Er2Co3B6, relaxed, DFT PBE; ΔE_f = -563 meV/atom; uncorrected energy = -6.972 eV/atom
1.0
3.4684 0.0000 0.0000
0.0000 5.6942 -0.6221
0.0000 0.0067 5.7281
Er Co B
2 3 6
Direct
0.0000 0.2789 0.7211 Er
0.0000 0.7211 0.2789 Er
0.0000 0.2219 0.2219 Co
0.0000 0.7781 0.7781 Co
0.5000 0.0000 0.0000 Co
0.5000 0.3880 0.3880 B
0.5000 0.6120 0.6120 B
0.5000 0.0841 0.3787 B
0.5000 0.9159 0.6213 B
0.5000 0.3787 0.0841 B
0.5000 0.6213 0.9159 B

***

9.
Er2CoB10, relaxed, DFT PBE; ΔE_f = -509 meV/atom; uncorrected energy = -6.894 eV/atom
1.0
4.1308 0.0000 0.0000
0.0000 5.5232 0.0000
0.0000 0.0000 11.0470
Er Co B
4 2 20
Direct
0.5000 0.3004 0.8668 Er
0.5000 0.6996 0.1332 Er
0.5000 0.8004 0.6332 Er
0.5000 0.1996 0.3668 Er
0.0000 0.5000 0.5000 Co
0.0000 0.0000 0.0000 Co
0.0000 0.1277 0.5399 B
0.0000 0.8723 0.4601 B
0.0000 0.6277 0.9601 B
0.0000 0.3723 0.0399 B
0.0000 0.1587 0.6982 B
0.0000 0.8413 0.3018 B
0.3005 0.2007 0.1135 B
0.3005 0.7993 0.8865 B
0.6995 0.7007 0.3865 B
0.6995 0.2993 0.6135 B
0.6995 0.7993 0.8865 B
0.6995 0.2007 0.1135 B
0.3005 0.2993 0.6135 B
0.3005 0.7007 0.3865 B
0.0000 0.0285 0.1858 B
0.0000 0.9715 0.8142 B
0.0000 0.5285 0.3142 B
0.0000 0.4715 0.6858 B
0.0000 0.3413 0.1982 B
0.0000 0.6587 0.8018 B

***

10.
ErCo2B, relaxed, DFT PBE; ΔE_f = -281 meV/atom; uncorrected energy = -6.644 eV/atom
1.0
3.4277 0.0000 0.0000
0.0000 3.4277 0.0000
0.0000 0.0000 9.3675
Er Co B
2 4 2
Direct
0.5000 0.0000 0.2473 Er
0.0000 0.5000 0.7527 Er
0.5000 0.0000 0.9578 Co
0.0000 0.5000 0.0422 Co
0.0000 0.0000 0.5000 Co
0.5000 0.5000 0.5000 Co
0.5000 0.0000 0.6086 B
0.0000 0.5000 0.3914 B

***

11.
ErCoB4, relaxed, DFT PBE; ΔE_f = -615 meV/atom; uncorrected energy = -7.011 eV/atom
1.0
-0.2435 0.4848 3.3128
3.3464 -4.7306 0.9382
9.2998 6.5249 -0.2715
Er Co B
4 4 16
Direct
0.5000 0.3716 0.1499 Er
0.5000 0.6284 0.8501 Er
0.5000 0.1284 0.6499 Er
0.5000 0.8716 0.3501 Er
0.5000 0.3649 0.4104 Co
0.5000 0.6351 0.5896 Co
0.5000 0.1351 0.9104 Co
0.5000 0.8649 0.0896 Co
0.0000 0.1114 0.0464 B
0.0000 0.8886 0.9536 B
0.0000 0.3886 0.5464 B
0.0000 0.6114 0.4536 B
0.0000 0.1382 0.4677 B
0.0000 0.8618 0.5323 B
0.0000 0.3618 0.9677 B
0.0000 0.6382 0.0323 B
0.0000 0.0223 0.1914 B
0.0000 0.9777 0.8086 B
0.0000 0.4777 0.6914 B
0.0000 0.5223 0.3086 B
0.0000 0.2163 0.3151 B
0.0000 0.7837 0.6849 B
0.0000 0.2837 0.8151 B
0.0000 0.7163 0.1849 B

***

12.
Er3Co11B4, relaxed, DFT PBE; ΔE_f = -389 meV/atom; uncorrected energy = -6.976 eV/atom
1.0
-3.7054 -2.8349 -1.7903
1.4847 -0.5308 4.7420
-6.5001 6.7347 2.7890
Er Co B
3 11 4
Direct
0.0000 0.0000 0.0000 Er
0.0000 0.0000 0.6580 Er
0.0000 0.0000 0.3420 Er
0.6667 0.3333 0.0000 Co
0.3333 0.6667 0.0000 Co
0.5000 0.5000 0.5000 Co
0.5000 0.0000 0.5000 Co
0.0000 0.5000 0.5000 Co
0.5000 0.5000 0.7985 Co
0.5000 0.0000 0.7985 Co
0.0000 0.5000 0.7985 Co
0.5000 0.5000 0.2015 Co
0.5000 0.0000 0.2015 Co
0.0000 0.5000 0.2015 Co
0.6667 0.3333 0.6504 B
0.3333 0.6667 0.6504 B
0.3333 0.6667 0.3496 B
0.6667 0.3333 0.3496 B